# CsPrHgS3 PBE relaxed
data_CsPrHgS3
_chemical_formula_sum 'Cs4 Pr4 Hg4 S12'
_cell_length_a 18.2763
_cell_length_b 4.3042
_cell_length_c 9.3020
_cell_angle_alpha 90.00
_cell_angle_beta 102.08
_cell_angle_gamma 90.00
_symmetry_space_group_name_H-M 'C 1 2/m 1'
_symmetry_Int_Tables_number 12
loop_
_symmetry_equiv_pos_as_xyz
'x,y,z'
'-x,-y,-z'
'-x,y,-z'
'x,-y,z'
'x+1/2,y+1/2,z'
'-x+1/2,-y+1/2,-z'
'-x+1/2,y+1/2,-z'
'x+1/2,-y+1/2,z'
loop_
_atom_site_label
_atom_site_type_symbol
_atom_site_fract_x
_atom_site_fract_y
_atom_site_fract_z
Cs1 Cs 0.1476 0.0000 0.0670
Pr1 Pr 0.1656 0.0000 0.5683
Hg1 Hg 0.0161 0.5000 0.7285
S1 S 0.0000 0.0000 0.5000
S2 S 0.0000 0.5000 0.0000
S3 S 0.1603 0.5000 0.7705
S4 S 0.1743 0.5000 0.3710
# Crystal system: monoclinic
# Raw total energy, eV for the cell shown: -100.5